1.
Crystalline P2PtN at its relaxed geometry, computed with GGA-PBE.

a b c (Å): 4.9813 4.9813 9.6095
angles (deg): 90.00 90.00 90.00
Space group I-42d (No. 122)
Symmetry-distinct sites (fractional):
P: 0.1937 0.2500 0.1250 x8
Pt: 0.0000 0.0000 0.5000 x4
N: 0.0000 0.0000 0.0000 x4

Properties
calculated density	7.550	g/cm3
E_tot	-96.70	eV/cell
uncorrected formation energy	0.25	eV per atom

2.
Crystalline SrDyMgIn at its relaxed geometry, computed with GGA-PBE.

a b c (Å): 7.8385 7.8385 7.8385
angles (deg): 90.00 90.00 90.00
Space group F-43m (No. 216)
Symmetry-distinct sites (fractional):
Sr: 0.0000 0.0000 0.0000 x4
Dy: 0.0000 0.0000 0.5000 x4
Mg: 0.2500 0.2500 0.7500 x4
In: 0.2500 0.2500 0.2500 x4

Properties
calculated density	5.368	g/cm3
E_tot	-46.19	eV/cell